Record 1
VASP calculation (PBE-GGA) on an optimized crystal structure of TcBr6N2.

Values from the calculation:
Formation energy from raw total energies   1040 meV/atom

POSCAR file:
```
TcBr6N2
1.0
0.0000 5.1414 5.1414
5.1414 0.0000 5.1414
5.1414 5.1414 0.0000
Tc Br N
1 6 2
direct
0.0000 0.0000 0.0000 Tc
0.2409 0.2409 0.7591 Br
0.2409 0.7591 0.2409 Br
0.2409 0.7591 0.7591 Br
0.7591 0.2409 0.2409 Br
0.7591 0.2409 0.7591 Br
0.7591 0.7591 0.2409 Br
0.2500 0.2500 0.2500 N
0.7500 0.7500 0.7500 N
```

***

Record 2
VASP calculation (PBE-GGA) on an optimized crystal structure of NdEr3Ir8.

Values from the calculation:
Formation energy from the elements   -912 kJ/mol of formula units

POSCAR file:
```
NdEr3Ir8
1.0
5.3682 0.0000 0.0000
-2.6841 4.6490 0.0000
0.0000 0.0000 8.7270
Nd Er Ir
1 3 8
direct
0.0000 0.0000 0.0000 Nd
0.0000 0.0000 0.3667 Er
0.6667 0.3333 0.4986 Er
0.6667 0.3333 0.8629 Er
0.1636 0.3273 0.6798 Ir
0.1636 0.8364 0.6798 Ir
0.3333 0.6667 0.4319 Ir
0.3333 0.6667 0.9314 Ir
0.5034 0.0068 0.1851 Ir
0.5034 0.4966 0.1851 Ir
0.6727 0.8364 0.6798 Ir
0.9932 0.4966 0.1851 Ir
```

***

Record 3
VASP calculation (PBE-GGA) on an optimized crystal structure of Tb6CePmHo2.

Values from the calculation:
Formation energy from the elements   241 kJ/mol of formula units

POSCAR file:
```
Tb6CePmHo2
1.0
5.6891 -3.3588 0.0000
5.6891 3.3588 0.0000
-2.6085 0.0000 8.6222
Tb Ce Pm Ho
6 1 1 2
direct
0.0912 0.5744 0.1944 Tb
0.1330 0.1330 0.4173 Tb
0.4256 0.9088 0.8056 Tb
0.5744 0.0912 0.1944 Tb
0.8670 0.8670 0.5827 Tb
0.9088 0.4256 0.8056 Tb
0.0000 0.0000 0.0000 Ce
0.5000 0.5000 0.5000 Pm
0.4089 0.4089 0.8302 Ho
0.5911 0.5911 0.1698 Ho
```

***

Record 4
VASP calculation (PBE-GGA) on an optimized crystal structure of Y4Er3Sc2.

Values from the calculation:
Formation energy from the elements   94 kJ/mol of formula units
Energy above the most stable polymorph in this dataset   0.040 eV/atom

POSCAR file:
```
Y4Er3Sc2
1.0
8.1395 -5.7561 0.0000
8.1395 5.7561 0.0000
-0.7803 0.0000 5.8024
Y Er Sc
8 6 4
direct
0.0538 0.8212 0.9676 Y
0.1788 0.9462 0.5324 Y
0.1812 0.3867 0.1207 Y
0.3867 0.1812 0.6207 Y
0.6133 0.8188 0.3793 Y
0.8188 0.6133 0.8793 Y
0.8212 0.0538 0.4676 Y
0.9462 0.1788 0.0324 Y
0.0256 0.3208 0.5812 Er
0.3208 0.0256 0.0812 Er
0.3878 0.6122 0.2500 Er
0.6122 0.3878 0.7500 Er
0.6792 0.9744 0.9188 Er
0.9744 0.6792 0.4188 Er
0.2638 0.5310 0.6955 Sc
0.4690 0.7362 0.8045 Sc
0.5310 0.2638 0.1955 Sc
0.7362 0.4690 0.3045 Sc
```

***

Record 5
VASP calculation (PBE-GGA) on an optimized crystal structure of AcYHg.

Values from the calculation:
Formation energy from the elements   -97 kJ/mol of formula units
Energy above the most stable polymorph in this dataset   0.000 eV/atom

POSCAR file:
```
AcYHg
1.0
5.0434 0.0000 0.0000
0.0000 5.0434 0.0000
0.0000 0.0000 7.9327
Ac Y Hg
2 2 2
direct
0.2500 0.2500 0.1315 Ac
0.7500 0.7500 0.8685 Ac
0.2500 0.7500 0.5000 Y
0.7500 0.2500 0.5000 Y
0.2500 0.2500 0.7284 Hg
0.7500 0.7500 0.2716 Hg
```

***

Record 6
VASP calculation (PBE-GGA) on an optimized crystal structure of Cs2RbAgAu.

Values from the calculation:
Formation energy from the elements   -6 kJ/mol of formula units
Energy above the most stable polymorph in this dataset   0.000 eV/atom

POSCAR file:
```
Cs2RbAgAu
1.0
7.1163 0.0000 0.0000
0.0000 7.1163 0.0000
0.0000 0.0000 5.4730
Cs Rb Ag Au
2 1 1 1
direct
0.0000 0.5000 0.0000 Cs
0.5000 0.0000 0.0000 Cs
0.0000 0.0000 0.5000 Rb
0.5000 0.5000 0.5000 Ag
0.5000 0.5000 0.0000 Au
```

***

Record 7
VASP calculation (PBE-GGA) on an optimized crystal structure of Cr2InRe.

Values from the calculation:
Formation energy from the elements   186 kJ/mol of formula units

POSCAR file:
```
Cr2InRe
1.0
1.4281 0.8245 8.5301
-1.4281 0.8245 8.5301
0.0000 -1.6490 8.5301
Cr In Re
2 1 1
direct
0.0000 0.0000 0.0000 Cr
0.2689 0.2689 0.2689 Cr
0.5095 0.5095 0.5095 In
0.7463 0.7463 0.7463 Re
```

***

Record 8
VASP calculation (PBE-GGA) on an optimized crystal structure of NaTbI4.

Values from the calculation:
Formation energy from raw total energies   -1349 meV/atom

POSCAR file:
```
NaTbI4
1.0
7.6802 0.0000 0.0000
0.0000 4.4479 0.0000
-0.0413 0.0000 8.0195
Na Tb I
1 1 4
direct
0.0000 0.0000 0.0000 Na
0.0000 0.5000 0.5000 Tb
0.2239 0.5000 0.1921 I
0.2334 0.0000 0.6506 I
0.7666 0.0000 0.3494 I
0.7761 0.5000 0.8079 I
```

***

Record 9
VASP calculation (PBE-GGA) on an optimized crystal structure of SmZrIr2.

Values from the calculation:
Formation energy from the elements   -247 kJ/mol of formula units
Energy above the most stable polymorph in this dataset   0.092 eV/atom

POSCAR file:
```
SmZrIr2
1.0
0.0000 3.4024 3.4024
3.4024 0.0000 3.4024
3.4024 3.4024 0.0000
Sm Zr Ir
1 1 2
direct
0.0000 0.0000 0.0000 Sm
0.5000 0.5000 0.5000 Zr
0.2500 0.2500 0.2500 Ir
0.7500 0.7500 0.7500 Ir
```

***

Record 10
VASP calculation (PBE-GGA) on an optimized crystal structure of PPdPb2.

Values from the calculation:
Formation energy from the elements   62 kJ/mol of formula units

POSCAR file:
```
PPdPb2
1.0
-3.2072 3.2072 5.9627
3.2072 -3.2072 5.9627
3.2072 3.2072 -5.9627
P Pd Pb
2 2 4
direct
0.0000 0.0000 0.0000 P
0.7500 0.2500 0.5000 P
0.2500 0.7500 0.5000 Pd
0.5000 0.5000 0.0000 Pd
0.1283 0.6250 0.0033 Pb
0.3750 0.3783 0.5033 Pb
0.6217 0.1250 0.9967 Pb
0.8750 0.8717 0.4967 Pb
```

***

Record 11
VASP calculation (PBE-GGA) on an optimized crystal structure of RbNaInSb.

Values from the calculation:
Formation energy from raw total energies   -185 meV/atom
Energy above the most stable polymorph in this dataset   0.087 eV/atom

POSCAR file:
```
RbNaInSb
1.0
0.0000 4.0450 4.0450
4.0450 0.0000 4.0450
4.0450 4.0450 0.0000
Rb Na In Sb
1 1 1 1
direct
0.0000 0.0000 0.0000 Rb
0.2500 0.2500 0.2500 Na
0.7500 0.7500 0.7500 In
0.5000 0.5000 0.5000 Sb
```

***

Record 12
VASP calculation (PBE-GGA) on an optimized crystal structure of AcPrTl.

Values from the calculation:
Formation energy from the elements   -18 kJ/mol of formula units
Energy above the most stable polymorph in this dataset   0.192 eV/atom

POSCAR file:
```
AcPrTl
1.0
0.0000 3.9068 3.9068
3.9068 0.0000 3.9068
3.9068 3.9068 0.0000
Ac Pr Tl
1 1 1
direct
0.0000 0.0000 0.0000 Ac
0.5000 0.5000 0.5000 Pr
0.2500 0.2500 0.2500 Tl
```

***

Record 13
VASP calculation (PBE-GGA) on an optimized crystal structure of VNi3C.

Values from the calculation:
Formation energy from the elements   1092 kJ/mol of formula units
Energy above the most stable polymorph in this dataset   2.086 eV/atom

POSCAR file:
```
VNi3C
1.0
4.2256 0.0000 0.0000
0.0000 4.2256 0.0000
0.0000 0.0000 4.2256
V Ni C
1 3 1
direct
0.0000 0.0000 0.0000 V
0.0000 0.0000 0.5000 Ni
0.0000 0.5000 0.0000 Ni
0.5000 0.0000 0.0000 Ni
0.5000 0.5000 0.5000 C
```

***

Record 14
VASP calculation (PBE-GGA) on an optimized crystal structure of CaAcMgHg.

Values from the calculation:
Formation energy from the elements   -114 kJ/mol of formula units
Energy above the most stable polymorph in this dataset   0.000 eV/atom

POSCAR file:
```
CaAcMgHg
1.0
0.0000 3.9834 3.9834
3.9834 0.0000 3.9834
3.9834 3.9834 0.0000
Ca Ac Mg Hg
1 1 1 1
direct
0.0000 0.0000 0.0000 Ca
0.5000 0.5000 0.5000 Ac
0.2500 0.2500 0.2500 Mg
0.7500 0.7500 0.7500 Hg
```

***

Record 15
VASP calculation (PBE-GGA) on an optimized crystal structure of Tm6Al3Cd.

Values from the calculation:
Formation energy from the elements   -266 kJ/mol of formula units

POSCAR file:
```
Tm6Al3Cd
1.0
9.0360 0.0000 0.0000
0.0000 5.0964 0.0000
-3.4675 0.0000 10.6769
Tm Al Cd
12 6 2
direct
0.0439 0.2500 0.4159 Tm
0.1561 0.7500 0.1745 Tm
0.2369 0.2500 0.9967 Tm
0.3250 0.7500 0.7936 Tm
0.3664 0.2500 0.3345 Tm
0.3980 0.2500 0.6221 Tm
0.6020 0.7500 0.3779 Tm
0.6336 0.7500 0.6655 Tm
0.6750 0.2500 0.2064 Tm
0.7631 0.7500 0.0033 Tm
0.8439 0.2500 0.8255 Tm
0.9561 0.7500 0.5841 Tm
0.0307 0.7500 0.8768 Al
0.1150 0.2500 0.7126 Al
0.2752 0.7500 0.4717 Al
0.7248 0.2500 0.5283 Al
0.8850 0.7500 0.2874 Al
0.9693 0.2500 0.1232 Al
0.4577 0.7500 0.0933 Cd
0.5423 0.2500 0.9067 Cd
```

***

Record 16
VASP calculation (PBE-GGA) on an optimized crystal structure of Pr2SmHg4.

Values from the calculation:
Formation energy from the elements   -230 kJ/mol of formula units
Energy above the most stable polymorph in this dataset   0.000 eV/atom

POSCAR file:
```
Pr2SmHg4
1.0
2.6167 1.5108 9.0358
-2.6167 1.5108 9.0358
0.0000 -3.0215 9.0358
Pr Sm Hg
2 1 4
direct
0.2435 0.2435 0.2435 Pr
0.7565 0.7565 0.7565 Pr
0.0000 0.0000 0.0000 Sm
0.1263 0.1263 0.1263 Hg
0.3722 0.3722 0.3722 Hg
0.6278 0.6278 0.6278 Hg
0.8737 0.8737 0.8737 Hg
```

***

Record 17
VASP calculation (PBE-GGA) on an optimized crystal structure of KTa2Ru.

Values from the calculation:
Formation energy from the elements   533 kJ/mol of formula units
Energy above the most stable polymorph in this dataset   0.893 eV/atom

POSCAR file:
```
KTa2Ru
1.0
4.8522 0.0000 0.0000
0.0000 4.8522 0.0000
0.0000 0.0000 3.1195
K Ta Ru
1 2 1
direct
0.0000 0.0000 0.0000 K
0.0000 0.5000 0.5000 Ta
0.5000 0.0000 0.5000 Ta
0.5000 0.5000 0.0000 Ru
```

***

Record 18
VASP calculation (PBE-GGA) on an optimized crystal structure of PmNi2As2.

Values from the calculation:
Formation energy from the elements   -401 kJ/mol of formula units
Energy above the most stable polymorph in this dataset   0.000 eV/atom

POSCAR file:
```
PmNi2As2
1.0
4.2010 0.0000 0.0000
0.0000 4.2010 0.0000
0.0000 0.0000 9.4618
Pm Ni As
2 4 4
direct
0.2500 0.2500 0.2475 Pm
0.7500 0.7500 0.7525 Pm
0.2500 0.2500 0.6193 Ni
0.2500 0.7500 0.0000 Ni
0.7500 0.2500 0.0000 Ni
0.7500 0.7500 0.3807 Ni
0.2500 0.2500 0.8708 As
0.2500 0.7500 0.5000 As
0.7500 0.2500 0.5000 As
0.7500 0.7500 0.1292 As
```

***

Record 19
VASP calculation (PBE-GGA) on an optimized crystal structure of TiMn2BeNi.

Values from the calculation:
Formation energy from the elements   616 kJ/mol of formula units
Energy above the most stable polymorph in this dataset   0.392 eV/atom

POSCAR file:
```
TiMn2BeNi
1.0
4.3288 0.0000 0.0000
0.0000 4.3288 0.0000
0.0000 0.0000 4.3601
Ti Mn Be Ni
1 2 1 1
direct
0.0000 0.0000 0.0000 Ti
0.0000 0.5000 0.0000 Mn
0.5000 0.0000 0.0000 Mn
0.5000 0.5000 0.5000 Be
0.0000 0.0000 0.5000 Ni
```

***

Record 20
VASP calculation (PBE-GGA) on an optimized crystal structure of Pr2HgTe.

Values from the calculation:
Formation energy from raw total energies   -927 meV/atom
Energy above the most stable polymorph in this dataset   0.000 eV/atom

POSCAR file:
```
Pr2HgTe
1.0
2.1868 1.2625 7.8670
-2.1868 1.2625 7.8670
0.0000 -2.5251 7.8670
Pr Hg Te
2 1 1
direct
0.2486 0.2486 0.2486 Pr
0.7514 0.7514 0.7514 Pr
0.0000 0.0000 0.0000 Hg
0.5000 0.5000 0.5000 Te
```

***

Record 21
VASP calculation (PBE-GGA) on an optimized crystal structure of KNiSeCl6.

Values from the calculation:
Formation energy from raw total energies   -678 meV/atom

POSCAR file:
```
KNiSeCl6
1.0
3.4513 -5.4429 0.0000
3.4513 5.4429 0.0000
-0.4110 0.0000 6.9303
K Ni Se Cl
1 1 1 6
direct
0.0000 0.0000 0.0000 K
0.3336 0.6664 0.5000 Ni
0.6735 0.3265 0.5000 Se
0.0224 0.3693 0.6807 Cl
0.0560 0.6519 0.2763 Cl
0.3481 0.9440 0.7237 Cl
0.3772 0.3674 0.3009 Cl
0.6307 0.9776 0.3193 Cl
0.6326 0.6228 0.6991 Cl
```

***

Record 22
VASP calculation (PBE-GGA) on an optimized crystal structure of HfSiRh2.

Values from the calculation:
Formation energy from raw total energies   -857 meV/atom

POSCAR file:
```
HfSiRh2
1.0
4.1293 0.0000 0.0000
0.0000 5.5581 0.0000
0.0000 0.0000 5.5491
Hf Si Rh
2 2 4
direct
0.2500 0.2500 0.1185 Hf
0.7500 0.7500 0.8815 Hf
0.2500 0.7500 0.3081 Si
0.7500 0.2500 0.6919 Si
0.2500 0.0057 0.6746 Rh
0.2500 0.4943 0.6746 Rh
0.7500 0.5057 0.3254 Rh
0.7500 0.9943 0.3254 Rh
```

***

Record 23
VASP calculation (PBE-GGA) on an optimized crystal structure of BaCaTe2.

Values from the calculation:
Formation energy from raw total energies   -1455 meV/atom
Energy above the most stable polymorph in this dataset   0.241 eV/atom

POSCAR file:
```
BaCaTe2
1.0
2.9522 -15.1646 0.0000
2.9522 15.1646 0.0000
0.0000 0.0000 4.5935
Ba Ca Te
2 2 4
direct
0.1236 0.8764 0.7500 Ba
0.8764 0.1236 0.2500 Ba
0.2867 0.7133 0.7500 Ca
0.7133 0.2867 0.2500 Ca
0.2147 0.7853 0.2500 Te
0.3882 0.6118 0.7500 Te
0.6118 0.3882 0.2500 Te
0.7853 0.2147 0.7500 Te
```

***

Record 24
VASP calculation (PBE-GGA) on an optimized crystal structure of BaReHg2.

Values from the calculation:
Formation energy from the elements   310 kJ/mol of formula units
Energy above the most stable polymorph in this dataset   0.217 eV/atom

POSCAR file:
```
BaReHg2
1.0
0.0000 3.7915 3.7915
3.7915 0.0000 3.7915
3.7915 3.7915 0.0000
Ba Re Hg
1 1 2
direct
0.0000 0.0000 0.0000 Ba
0.5000 0.5000 0.5000 Re
0.2500 0.2500 0.2500 Hg
0.7500 0.7500 0.7500 Hg
```

***

Record 25
VASP calculation (PBE-GGA) on an optimized crystal structure of KSrHf2Re.

Values from the calculation:
Formation energy from the elements   1222 kJ/mol of formula units

POSCAR file:
```
KSrHf2Re
1.0
4.9413 0.0000 0.0000
0.0000 4.9413 0.0000
0.0000 0.0000 5.0742
K Sr Hf Re
1 1 2 1
direct
0.0000 0.0000 0.0000 K
0.0000 0.0000 0.5000 Sr
0.0000 0.5000 0.0000 Hf
0.5000 0.0000 0.0000 Hf
0.5000 0.5000 0.5000 Re
```